(1)
Compound: K2Ag5Pd5
Source: Alexandria
Functional: PBE
Structure: relaxed

a b c (Å): 4.581 5.555 9.794
angles (deg): 90.00 90.00 90.00
Atoms (fractional coordinates):
K: 0.000 0.500 0.000
K: 0.000 0.000 0.500
Ag: 0.000 0.500 0.334
Ag: 0.000 0.000 0.823
Ag: 0.000 0.000 0.177
Ag: 0.000 0.500 0.666
Ag: 0.500 0.000 0.000
Pd: 0.500 0.500 0.500
Pd: 0.500 0.751 0.255
Pd: 0.500 0.249 0.745
Pd: 0.500 0.249 0.255
Pd: 0.500 0.751 0.745

***

(2)
Compound: KAgPd2
Source: Alexandria
Functional: PBE
Structure: relaxed

a b c (Å): 4.802 4.802 10.104
angles (deg): 76.25 76.25 90.00
Atoms (fractional coordinates):
K: 0.500 0.500 0.000
K: 0.250 0.750 0.500
Pd: 0.779 0.125 0.250
Pd: 0.971 0.625 0.250
Pd: 0.375 0.221 0.750
Pd: 0.875 0.029 0.750
Ag: 0.000 0.000 0.000
Ag: 0.750 0.250 0.500

**Excess energy over the best structure of this formula in the dataset**: 0.0465 eV per atom

***

(3)
Compound: KAgPd2
Source: Alexandria
Functional: PBE
Structure: relaxed

a b c (Å): 4.819 4.819 4.819
angles (deg): 60.00 60.00 60.00
Atoms (fractional coordinates):
K: 0.000 0.000 0.000
Pd: 0.250 0.250 0.250
Pd: 0.750 0.750 0.750
Ag: 0.500 0.500 0.500

**Excess energy over the best structure of this formula in the dataset**: 0.0000 eV per atom

***

no.,final energy (eV per atom)
1,-3.55
2,-3.26
3,-3.31